No. 1
Entry from Alexandria: a geometry-optimized K2VHS4 structure (PBE).

Geometry as POSCAR:
```
K2VHS4
1.0
7.594 0.924 -1.903
0.929 7.570 -2.006
-5.364 -5.367 9.189
S H K V
8 2 4 2
direct
0.371 0.898 0.639 S
0.789 0.675 0.881 S
0.679 0.203 0.950 S
0.185 0.296 0.381 S
0.680 0.201 0.411 S
0.367 0.895 0.160 S
0.870 0.804 0.691 S
0.288 0.371 0.186 S
0.049 0.445 0.402 H
0.119 0.481 0.138 H
0.566 0.105 0.585 K
0.880 0.787 0.233 K
0.172 0.343 0.848 K
0.423 0.920 0.929 K
0.558 0.569 0.560 V
0.004 0.007 0.007 V
```

DOS(E_F): 4.77 states/eV/cell

---

No. 2
Entry from Alexandria: a geometry-optimized Zr3CCl3 structure (PBE).

Geometry as POSCAR:
```
Zr3CCl3
1.0
-4.471 2.381 -3.146
-4.442 -3.463 -1.958
-7.960 1.313 6.656
Zr Cl C
6 6 2
direct
0.692 0.392 0.874 Zr
0.958 0.308 0.126 Zr
0.608 0.958 0.126 Zr
0.042 0.692 0.874 Zr
0.308 0.608 0.126 Zr
0.392 0.042 0.874 Zr
0.568 0.228 0.306 Cl
0.432 0.772 0.694 Cl
0.898 0.568 0.306 Cl
0.772 0.102 0.694 Cl
0.102 0.432 0.694 Cl
0.228 0.898 0.306 Cl
0.667 0.667 0.000 C
0.333 0.333 0.000 C
```

Raw formation energy: -1.36 eV per atom
DOS(E_F): 7.65 states/eV/cell

---

No. 3
Entry from Alexandria: a geometry-optimized Cr2NiPt structure (PBE).

Geometry as POSCAR:
```
Cr2NiPt
1.0
4.143 0.000 0.000
0.000 2.603 0.000
0.000 0.001 4.626
Ni Cr Pt
1 2 1
direct
0.000 0.624 0.448 Ni
0.000 0.125 0.977 Cr
0.500 0.125 0.290 Cr
0.500 0.625 0.785 Pt
```

Formation energy: -0.3 eV per formula unit
DOS(E_F): 4.68 states/eV/cell

---

No. 4
Entry from Alexandria: a geometry-optimized ZrAsBr2 structure (PBE).

Geometry as POSCAR:
```
ZrAsBr2
1.0
8.142 0.036 -0.008
7.348 3.507 -0.008
0.487 0.111 4.165
Zr Br As
1 2 1
direct
0.750 0.750 0.750 Zr
0.105 0.105 0.925 Br
0.395 0.395 0.575 Br
0.250 0.250 0.250 As
```

Raw formation energy: -0.71 eV per atom
DOS(E_F): 2.54 states/eV/cell
Energy above the most stable polymorph in this dataset: 117 meV/atom

---

No. 5
Entry from Alexandria: a geometry-optimized Na2NpBiO6 structure (PBE).

Geometry as POSCAR:
```
Na2NpBiO6
1.0
5.825 0.000 -0.015
0.000 5.992 0.000
0.029 0.000 8.369
O Bi Np Na
12 2 2 4
direct
0.173 0.217 0.060 O
0.106 0.456 0.770 O
0.673 0.283 0.560 O
0.214 0.179 0.448 O
0.894 0.544 0.230 O
0.786 0.821 0.552 O
0.286 0.679 0.052 O
0.827 0.783 0.940 O
0.606 0.044 0.270 O
0.327 0.717 0.440 O
0.714 0.321 0.948 O
0.394 0.956 0.730 O
0.000 0.500 0.500 Bi
0.500 0.000 0.000 Bi
0.000 0.500 0.000 Np
0.500 0.000 0.500 Np
0.008 0.959 0.252 Na
0.508 0.541 0.752 Na
0.992 0.041 0.748 Na
0.492 0.459 0.248 Na
```

Raw formation energy: -2.04 eV per atom

---

No. 6
Entry from Alexandria: a geometry-optimized Mg4Zn3Pd structure (PBE).

Geometry as POSCAR:
```
Mg4Zn3Pd
1.0
-2.399 1.534 -1.670
-1.786 -2.776 0.015
-5.428 3.549 11.057
Zn Pd Mg
3 1 4
direct
0.500 0.500 0.242 Zn
0.500 0.500 0.500 Zn
0.500 0.500 0.758 Zn
0.500 0.500 0.000 Pd
0.000 0.000 0.885 Mg
0.000 0.000 0.115 Mg
0.000 0.000 0.627 Mg
0.000 0.000 0.373 Mg
```

Formation energy: -2.1 eV per formula unit
DOS(E_F): 3.28 states/eV/cell

---

No. 7
Entry from Alexandria: a geometry-optimized CaAcTe structure (PBE).

Geometry as POSCAR:
```
CaAcTe
1.0
8.320 0.000 0.000
0.000 13.027 0.000
0.000 -6.513 4.380
Ca Ac Te
4 4 4
direct
0.500 0.294 0.588 Ca
0.500 0.706 0.412 Ca
0.000 0.794 0.588 Ca
0.000 0.206 0.412 Ca
0.657 0.793 0.000 Ac
0.157 0.707 0.000 Ac
0.343 0.207 0.000 Ac
0.843 0.293 0.000 Ac
0.295 0.942 0.000 Te
0.205 0.442 0.000 Te
0.705 0.058 0.000 Te
0.795 0.558 0.000 Te
```

Raw formation energy: -0.80 eV per atom
DOS(E_F): 14.36 states/eV/cell
Energy above the most stable polymorph in this dataset: 53 meV/atom

---

Respective M_tot values: 2.00 0.12 0.00 0.33 0.00 0.00 0.58 μB per formula unit.
Respective calculated total energy values: -0.1717 -0.2620 -0.2882 -0.1781 -0.2558 -0.0801 -0.1426 hartree per atom.